1.
GGA-PBE SmBeBi, relaxed; symmetry = No. 166
1.0
-1.657 1.354 -3.016
0.687 -1.491 -3.314
-10.382 -8.511 -0.386
Bi Be Sm
2 2 2
direct
0.713 0.713 0.862
0.287 0.287 0.138
0.832 0.832 0.503
0.168 0.168 0.497
0.448 0.448 0.657
0.552 0.552 0.343


2.
GGA-PBE BeSnBi3, relaxed; relative energy among the computed polymorphs = 402 kJ/mol of formula units; symmetry = No. 221
1.0
5.825 0.000 0.000
0.000 5.825 0.000
0.000 0.000 5.825
Bi Be Sn
3 1 1
direct
0.500 0.000 0.000
0.000 0.500 0.000
0.000 0.000 0.500
0.500 0.500 0.500
0.000 0.000 0.000


3.
GGA-PBE BeSn2Bi, relaxed; relative energy among the computed polymorphs = 0 kJ/mol of formula units; symmetry = No. 122
1.0
-1.438 5.879 -0.024
-1.472 -0.383 -5.858
-7.638 1.243 -1.289
Sn Bi Be
4 2 2
direct
0.875 0.794 0.750
0.206 0.625 0.250
0.375 0.456 0.750
0.544 0.125 0.250
0.750 0.250 0.500
0.000 0.000 0.000
0.250 0.750 0.500
0.500 0.500 0.000


4.
GGA-PBE BeSnBi3, relaxed; relative energy among the computed polymorphs = 0 kJ/mol of formula units; symmetry = No. 221
1.0
-4.720 0.059 2.177
2.100 -1.252 4.587
0.576 5.045 1.113
Bi Sn Be
3 1 1
direct
0.000 0.500 0.000
0.000 0.000 0.500
0.500 0.000 0.000
0.500 0.500 0.500
0.000 0.000 0.000


Number 1: energy of formation from the pure elements -0.04 eV per atom, M_tot 0.0 Bohr magnetons per cell, E -4.15 eV/atom. Number 2: energy of formation from the pure elements 1.25 eV per atom, M_tot 0.0 Bohr magnetons per cell, E -2.63 eV/atom. Number 3: energy of formation from the pure elements 0.28 eV per atom, M_tot 0.0 Bohr magnetons per cell, E -3.62 eV/atom. Number 4: energy of formation from the pure elements 0.42 eV per atom, M_tot 0.0 Bohr magnetons per cell, E -3.46 eV/atom.